Here is a geometry-optimized Li3ZnNi2 structure from Alexandria via LeMat-Bulk. Energies are from PBE-GGA.

Unit cell a=4.5558 b=4.5560 c=4.2490 alpha=90.00 beta=90.00 gamma=120.00
Atoms (fractional coordinates):
Li (0.5000, 0.0000, 0.5000)
Li (0.5000, 0.5000, 0.5000)
Li (0.0000, 0.5000, 0.5000)
Zn (0.0000, 0.0000, 0.0000)
Ni (0.6667, 0.3333, 0.0000)
Ni (0.3333, 0.6667, 0.0000)

Properties
E_tot (hartree per atom): -0.111
Volume (Å³/cell): 76.4
Symmetry: P6/mmm (191)
DFT formation energy (meV/atom): 65
Size of the total moment (Bohr magnetons per cell): 0.0